No. 1
BaPm2CuS5 | PBE-GGA | optimized geometry

a = 7.7913 Å, b = 7.7913 Å, c = 13.6479 Å
α = 90.00°, β = 90.00°, γ = 90.00°
Closest atoms and distances in Å follow each position.
Space group I4/mcm (No. 140)
Asymmetric unit:
Ba1 0.0000 0.0000 0.2500 (multiplicity 4)  10 S 3.38-3.41
Pm1 0.1613 0.3387 0.0000 (multiplicity 8)  8 S 2.79-3.01
Cu1 0.0000 0.5000 0.2500 (multiplicity 4)  4 S 2.27
S1 0.0000 0.0000 0.0000 (multiplicity 4)  4 Pm 2.92
S2 0.1464 0.3536 0.3674 (multiplicity 16)  1 Cu 2.27

## Properties
formation energy from raw total energies: -1.64 eV per atom
D(E_F): 0.766 states/eV per atom
magnetization: 0.00 μB per formula unit
DFT total energy: -203.83 eV/cell

=====

No. 2
BaPmCuS3 | PBE-GGA | optimized geometry

a = 4.0872 Å, b = 13.6502 Å, c = 10.5296 Å
α = 90.00°, β = 90.00°, γ = 90.00°
Closest atoms and distances in Å follow each position.
Space group Cmcm (No. 63)
Asymmetric unit:
Ba1 0.0000 0.2451 0.2500 (multiplicity 4)  6 S 3.16-3.24
Pm1 0.0000 0.5000 0.0000 (multiplicity 4)  6 S 2.79-2.83
Cu1 0.0000 0.0306 0.7500 (multiplicity 4)  4 S 2.35-2.45
S1 0.0000 0.1328 0.5705 (multiplicity 8)  1 Cu 2.35
S2 0.0000 0.4318 0.7500 (multiplicity 4)  2 Cu 2.45

## Properties
formation energy from raw total energies: -1.69 eV per atom
magnetization: 0.00 μB per formula unit
DFT total energy: -133.17 eV/cell

=====

No. 3
BaPm2CuS4 | PBE-GGA | optimized geometry

a = 4.0569 Å, b = 13.6729 Å, c = 13.9194 Å
α = 90.00°, β = 90.00°, γ = 90.00°
Closest atoms and distances in Å follow each position.
Space group Cmcm (No. 63)
Asymmetric unit:
Ba1 0.0000 0.1115 0.2500 (multiplicity 4)  6 S 3.18-3.19
Pm1 0.0000 0.3705 0.0570 (multiplicity 8)  6 S 2.81-2.90
Cu1 0.0000 0.1583 0.7500 (multiplicity 4)  4 S 2.36-2.38
S1 0.0000 0.0000 0.0000 (multiplicity 4)  4 Pm 2.81
S2 0.0000 0.2676 0.6189 (multiplicity 8)  1 Cu 2.36
S3 0.0000 0.4325 0.2500 (multiplicity 4)  2 Cu 2.38

## Properties
formation energy from raw total energies: -1.76 eV per atom
D(E_F): 0.168 states/eV per atom
magnetization: 0.00 μB per formula unit
DFT total energy: -184.44 eV/cell

=====

No. 4
Ba2PmCu2Se4 | PBE-GGA | optimized geometry

a = 15.5876 Å, b = 4.1823 Å, c = 7.6823 Å
α = 90.00°, β = 110.34°, γ = 90.00°
Closest atoms and distances in Å follow each position.
Space group C2/m (No. 12)
Asymmetric unit:
Ba1 0.1350 0.0000 0.0716 (multiplicity 4)  7 Se 3.29-3.52, 1 Cu 3.58
Pm1 0.0000 0.0000 0.5000 (multiplicity 2)  6 Se 2.96-2.98
Cu1 0.1813 0.5000 0.4911 (multiplicity 4)  4 Se 2.51-2.63
Se1 0.0243 0.5000 0.2491 (multiplicity 4)  1 Cu 2.51
Se2 0.2027 0.0000 0.6882 (multiplicity 4)  3 Cu 2.53-2.63

## Properties
formation energy from raw total energies: -1.29 eV per atom
D(E_F): 0.448 states/eV per atom
magnetization: 0.00 μB per formula unit
DFT total energy: -84.70 eV/cell

=====

No. 5
BaPm2CuSe4 | PBE-GGA | optimized geometry

a = 4.2242 Å, b = 14.2074 Å, c = 14.5347 Å
α = 90.00°, β = 90.00°, γ = 90.00°
Closest atoms and distances in Å follow each position.
Space group Cmcm (No. 63)
Asymmetric unit:
Ba1 0.0000 0.1142 0.2500 (multiplicity 4)  6 Se 3.29-3.30
Pm1 0.0000 0.3708 0.0583 (multiplicity 8)  6 Se 2.92-3.03
Cu1 0.0000 0.1557 0.7500 (multiplicity 4)  4 Se 2.49
Se1 0.0000 0.0000 0.0000 (multiplicity 4)  4 Pm 2.92
Se2 0.0000 0.2688 0.6187 (multiplicity 8)  1 Cu 2.49
Se3 0.0000 0.4367 0.2500 (multiplicity 4)  2 Cu 2.49

## Properties
formation energy from raw total energies: -1.62 eV per atom
D(E_F): 0.184 states/eV per atom
magnetization: 0.00 μB per formula unit
DFT total energy: -169.71 eV/cell

=====

No. 6
BaPmCu2Se4 | PBE-GGA | optimized geometry

a = 7.0338 Å, b = 7.0338 Å, c = 8.5743 Å
α = 90.00°, β = 90.00°, γ = 90.00°
Closest atoms and distances in Å follow each position.
Space group I-42m (No. 121)
Asymmetric unit:
Ba1 0.0000 0.0000 0.0000 (multiplicity 2)  8 Se 3.31
Pm1 0.0000 0.0000 0.5000 (multiplicity 2)  4 Se 2.88
Cu1 0.0000 0.5000 0.2500 (multiplicity 4)  4 Se 2.52
Se1 0.2229 0.2229 0.7138 (multiplicity 8)  2 Cu 2.52

## Properties
formation energy from raw total energies: -1.03 eV per atom
D(E_F): 0.464 states/eV per atom
magnetization: 0.00 μB per formula unit
DFT total energy: -74.12 eV/cell

=====

No. 7
BaPmCuSi | PBE-GGA | optimized geometry

a = 7.5601 Å, b = 7.5601 Å, c = 7.5601 Å
α = 90.00°, β = 90.00°, γ = 90.00°
Closest atoms and distances in Å follow each position.
Space group F-43m (No. 216)
Asymmetric unit:
Ba1 0.0000 0.0000 0.0000 (multiplicity 4)  4 Cu 3.27, 4 Si 3.27
Pm1 0.0000 0.0000 0.5000 (multiplicity 4)  4 Cu 3.27, 4 Si 3.27
Cu1 0.2500 0.2500 0.2500 (multiplicity 4)  4 Ba 3.27, 4 Pm 3.27
Si1 0.2500 0.2500 0.7500 (multiplicity 4)  4 Ba 3.27, 4 Pm 3.27

## Properties
formation energy from raw total energies: -0.13 eV per atom
D(E_F): 0.313 states/eV per atom
magnetization: 0.00 μB per formula unit
DFT total energy: -66.79 eV/cell

=====

No. 8
BaPmCu2Si2 | PBE-GGA | optimized geometry

a = 4.1898 Å, b = 4.1898 Å, c = 8.9752 Å
α = 90.00°, β = 90.00°, γ = 120.00°
Closest atoms and distances in Å follow each position.
Space group P-3m1 (No. 164)
Asymmetric unit:
Ba1 0.0000 0.0000 0.0000 (multiplicity 1)  6 Si 3.48, 6 Cu 3.49
Pm1 0.0000 0.0000 0.5000 (multiplicity 1)  6 Cu 3.12, 6 Si 3.13
Cu1 0.3333 0.6667 0.2802 (multiplicity 2)  3 Si 2.42
Si1 0.3333 0.6667 0.7209 (multiplicity 2)  3 Cu 2.42

## Properties
formation energy from raw total energies: -0.45 eV per atom
D(E_F): 0.614 states/eV per atom
magnetization: 0.00 μB per formula unit
DFT total energy: -28.40 eV/cell

=====

No. 9
BaPmCu2Te4 | PBE-GGA | optimized geometry

a = 7.0063 Å, b = 8.2887 Å, c = 8.9238 Å
α = 90.00°, β = 90.00°, γ = 90.00°
Closest atoms and distances in Å follow each position.
Space group I222 (No. 23)
Asymmetric unit:
Ba1 0.0000 0.0000 0.0000 (multiplicity 2)  8 Te 3.52-3.58
Pm1 0.0000 0.0000 0.5000 (multiplicity 2)  4 Te 3.07
Cu1 0.0000 0.5000 0.1434 (multiplicity 4)  2 Te 2.56, 1 Cu 2.56
Te1 0.2458 0.2103 0.2920 (multiplicity 8)  1 Cu 2.56

## Properties
formation energy from raw total energies: -0.72 eV per atom
D(E_F): 0.575 states/eV per atom
magnetization: 0.00 μB per formula unit
DFT total energy: -66.45 eV/cell

=====

No. 10
BaPmZnCu | PBE-GGA | optimized geometry

a = 7.6236 Å, b = 7.6236 Å, c = 7.6236 Å
α = 90.00°, β = 90.00°, γ = 90.00°
Closest atoms and distances in Å follow each position.
Space group F-43m (No. 216)
Asymmetric unit:
Ba1 0.0000 0.0000 0.0000 (multiplicity 4)  4 Cu 3.30, 4 Zn 3.30
Pm1 0.0000 0.0000 0.5000 (multiplicity 4)  4 Cu 3.30, 4 Zn 3.30
Zn1 0.2500 0.2500 0.7500 (multiplicity 4)  4 Ba 3.30, 4 Pm 3.30
Cu1 0.2500 0.2500 0.2500 (multiplicity 4)  4 Ba 3.30, 4 Pm 3.30

## Properties
D(E_F): 0.784 states/eV per atom
magnetization: 0.00 μB per formula unit
DFT total energy: -48.17 eV/cell

=====

No. 11
BaPr2Cu | PBE-GGA | optimized geometry

a = 3.9409 Å, b = 3.9409 Å, c = 33.4811 Å
α = 90.00°, β = 90.00°, γ = 120.00°
Closest atoms and distances in Å follow each position.
Space group R-3m (No. 166, hexagonal axes)
Asymmetric unit:
Ba1 0.0000 0.0000 0.0000 (multiplicity 3)  2 Pr 3.75, 6 Ba 3.94
Pr1 0.0000 0.0000 0.1121 (multiplicity 6)  3 Cu 2.92
Cu1 0.0000 0.0000 0.5000 (multiplicity 3)  6 Pr 2.92

## Properties
D(E_F): 1.841 states/eV per atom
magnetization: 0.00 μB per formula unit
energy above the lowest structure with this stoichiometry: 168 meV per atom
DFT total energy: -44.16 eV/cell

=====

No. 12
BaPr3Cu | PBE-GGA | optimized geometry

a = 5.7674 Å, b = 5.7674 Å, c = 5.7674 Å
α = 90.00°, β = 90.00°, γ = 90.00°
Closest atoms and distances in Å follow each position.
Space group Pm-3m (No. 221)
Asymmetric unit:
Ba1 0.0000 0.0000 0.0000 (multiplicity 1)  12 Pr 4.08
Pr1 0.0000 0.5000 0.5000 (multiplicity 3)  2 Cu 2.88
Cu1 0.5000 0.5000 0.5000 (multiplicity 1)  6 Pr 2.88

## Properties
D(E_F): 1.993 states/eV per atom
magnetization: 0.00 μB per formula unit
DFT total energy: -19.72 eV/cell

=====

Number 1: calculated volume 23.01 Å³/atom. Number 2: calculated volume 24.48 Å³/atom. Number 3: calculated volume 24.13 Å³/atom. Number 4: calculated volume 26.09 Å³/atom. Number 5: calculated volume 27.26 Å³/atom. Number 6: calculated volume 26.51 Å³/atom. Number 7: calculated volume 27.01 Å³/atom. Number 8: calculated volume 22.74 Å³/atom. Number 9: calculated volume 32.39 Å³/atom. Number 10: calculated volume 27.69 Å³/atom. Number 11: calculated volume 37.53 Å³/atom. Number 12: calculated volume 38.37 Å³/atom.